Here is crystalline Sc8Ag2Ru at its relaxed geometry from Alexandria. Energies are from GGA-PBE.

```
data_Sc8Ag2Ru
_cell_length_a 15.972
_cell_length_b 4.887
_cell_length_c 6.461
_cell_angle_alpha 90.00
_cell_angle_beta 109.68
_cell_angle_gamma 90.00
_space_group_name_H-M_alt 'C 1 2/m 1'
_space_group_IT_number 12
loop_
_space_group_symop_operation_xyz
'x,y,z'
'-x,-y,-z'
'-x,y,-z'
'x,-y,z'
'x+1/2,y+1/2,z'
'-x+1/2,-y+1/2,-z'
'-x+1/2,y+1/2,-z'
'x+1/2,-y+1/2,z'
loop_
_atom_site_label
_atom_site_type_symbol
_atom_site_fract_x
_atom_site_fract_y
_atom_site_fract_z
_atom_site_occupancy
Sc1 Sc 0.025 0.000 0.293 1
Sc2 Sc 0.095 0.500 0.930 1
Sc3 Sc 0.160 0.500 0.458 1
Sc4 Sc 0.193 0.000 0.784 1
Ag1 Ag 0.182 0.000 0.197 1
Ru1 Ru 0.000 0.500 0.500 1
```

- formation enthalpy at 0 K (meV/atom) = -244



Here is crystalline Na2Nd2PaTe6 at its relaxed geometry from Alexandria. Energies are from GGA-PBE.

```
data_Na2Nd2PaTe6
_cell_length_a 7.821
_cell_length_b 13.435
_cell_length_c 8.048
_cell_angle_alpha 90.00
_cell_angle_beta 109.15
_cell_angle_gamma 90.00
_space_group_name_H-M_alt 'C 1 2/m 1'
_space_group_IT_number 12
loop_
_space_group_symop_operation_xyz
'x,y,z'
'-x,-y,-z'
'-x,y,-z'
'x,-y,z'
'x+1/2,y+1/2,z'
'-x+1/2,-y+1/2,-z'
'-x+1/2,y+1/2,-z'
'x+1/2,-y+1/2,z'
loop_
_atom_site_label
_atom_site_type_symbol
_atom_site_fract_x
_atom_site_fract_y
_atom_site_fract_z
_atom_site_occupancy
Na1 Na 0.000 0.170 0.000 1
Nd1 Nd 0.000 0.333 0.500 1
Pa1 Pa 0.000 0.000 0.500 1
Te1 Te 0.243 0.161 0.737 1
Te2 Te 0.244 0.000 0.265 1
```

- energy relative to the elements, uncorrected (eV/atom) = -1.18



Here is crystalline Cu at its relaxed geometry from Alexandria. Energies are from GGA-PBE.

```
data_Cu
_cell_length_a 4.0951
_cell_length_b 4.0951
_cell_length_c 2.3755
_cell_angle_alpha 90.00
_cell_angle_beta 90.00
_cell_angle_gamma 120.00
_space_group_name_H-M_alt 'P 6/m m m'
_space_group_IT_number 191
_space_group_name_Hall '-P 6 2'
loop_
_atom_site_label
_atom_site_type_symbol
_atom_site_fract_x
_atom_site_fract_y
_atom_site_fract_z
_atom_site_occupancy
Cu1 Cu 0.3333 0.6667 0.0000 1
```

- formation enthalpy at 0 K (meV/atom) = 739